VASP calculation (GGA-PBEsol) on a relaxed structure of MgGa2H.

abc: 6.3500 6.3500 6.3500
angles: 90.00 90.00 90.00
Closest atoms and distances in Å follow each position.
Space group Fm-3m (No. 225)
One atom of each set of equivalent atoms:
Mg: 0.0000 0.0000 0.0000  8 Ga 2.75
Ga: 0.2500 0.2500 0.2500  4 H 2.75, 4 Mg 2.75
H: 0.0000 0.0000 0.5000  8 Ga 2.75

Properties
E_tot in eV per formula unit: -10.06